First-principles (PBE-GGA) data for crystalline Ca3Pm2NpN6 at its relaxed geometry, as listed in Alexandria.

Computed properties:
raw formation energy	-1269	meV/atom
mass density	6.49	Mg/m³
crystal system	monoclinic

Lattice parameters (Å, degrees): 6.1399 6.1399 6.0888 99.71 99.71 120.05
Positions (direct):
1 Ca 0.0000 0.0000 0.0000
2 Ca 0.3380 0.6620 0.0000
3 Ca 0.6620 0.3380 0.0000
4 Pm 0.1672 0.8328 0.5000
5 Pm 0.8328 0.1672 0.5000
6 Np 0.5000 0.5000 0.5000
7 N 0.1265 0.4259 0.2768
8 N 0.2748 0.2748 0.7151
9 N 0.4259 0.1265 0.2768
10 N 0.5741 0.8735 0.7232
11 N 0.7252 0.7252 0.2849
12 N 0.8735 0.5741 0.7232

***

First-principles (PBE-GGA) data for crystalline NiIrRu2 at its relaxed geometry, as listed in Alexandria.

Computed properties:
E above lowest polymorph	386.0	meV per atom
mass density	13.61	Mg/m³
crystal system	cubic
formation energy	0.42	eV per atom

Lattice parameters (Å, degrees): 4.2754 4.2754 4.2754 60.00 60.00 60.00
Positions (direct):
1 Ni 0.0000 0.0000 0.0000
2 Ir 0.5000 0.5000 0.5000
3 Ru 0.2500 0.2500 0.2500
4 Ru 0.7500 0.7500 0.7500

***

First-principles (PBE-GGA) data for crystalline PmTcN2 at its relaxed geometry, as listed in Alexandria.

Computed properties:
raw formation energy	-751	meV/atom
E above lowest polymorph	0.0	meV per atom
mass density	8.83	Mg/m³
crystal system	orthorhombic

Lattice parameters (Å, degrees): 5.7856 3.2402 10.8730 90.00 90.00 90.00
Positions (direct):
1 Pm 0.0765 0.2500 0.1465
2 Pm 0.4235 0.7500 0.6465
3 Pm 0.5765 0.2500 0.3535
4 Pm 0.9235 0.7500 0.8535
5 Tc 0.0599 0.7500 0.4034
6 Tc 0.4401 0.2500 0.9034
7 Tc 0.5599 0.7500 0.0966
8 Tc 0.9401 0.2500 0.5966
9 N 0.1702 0.2500 0.7522
10 N 0.2374 0.2500 0.4933
11 N 0.2626 0.7500 0.9933
12 N 0.3298 0.7500 0.2522
13 N 0.6702 0.2500 0.7478
14 N 0.7374 0.2500 0.0067
15 N 0.7626 0.7500 0.5067
16 N 0.8298 0.7500 0.2478

***

First-principles (PBE-GGA) data for crystalline SbAsIr2 at its relaxed geometry, as listed in Alexandria.

Computed properties:
raw formation energy	401	meV/atom
E above lowest polymorph	559.7	meV per atom
mass density	12.61	Mg/m³
crystal system	orthorhombic

Lattice parameters (Å, degrees): 2.9539 2.9539 10.1775 90.00 90.00 120.49
Positions (direct):
1 Sb 0.0000 0.0000 0.0000
2 As 0.5000 0.5000 0.3471
3 Ir 0.0000 0.0000 0.5470
4 Ir 0.5000 0.5000 0.7744

***

First-principles (PBE-GGA) data for crystalline Zr4O at its relaxed geometry, as listed in Alexandria.

Computed properties:
raw formation energy	-1088	meV/atom
E above lowest polymorph	13.2	meV per atom
mass density	6.54	Mg/m³
crystal system	orthorhombic

Lattice parameters (Å, degrees): 6.5698 6.5698 5.1991 90.00 90.00 120.40
Positions (direct):
1 Zr 0.1668 0.8332 0.7535
2 Zr 0.1701 0.3299 0.7500
3 Zr 0.3299 0.1701 0.2500
4 Zr 0.3332 0.6668 0.2535
5 Zr 0.6668 0.3332 0.7465
6 Zr 0.6701 0.8299 0.7500
7 Zr 0.8299 0.6701 0.2500
8 Zr 0.8332 0.1668 0.2465
9 O 0.0000 0.0000 0.5000
10 O 0.5000 0.5000 0.0000

***

First-principles (PBE-GGA) data for crystalline TaCoP3 at its relaxed geometry, as listed in Alexandria.

Computed properties:
E above lowest polymorph	254.5	meV per atom
mass density	5.07	Mg/m³
crystal system	cubic
formation energy	0.92	eV per atom

Lattice parameters (Å, degrees): 4.7772 4.7772 4.7772 90.00 90.00 90.00
Positions (direct):
1 Ta 0.0000 0.0000 0.0000
2 Co 0.5000 0.5000 0.5000
3 P 0.0000 0.0000 0.5000
4 P 0.0000 0.5000 0.0000
5 P 0.5000 0.0000 0.0000

***

First-principles (PBE-GGA) data for crystalline KY5 at its relaxed geometry, as listed in Alexandria.

Computed properties:
E above lowest polymorph	180.6	meV per atom
mass density	3.59	Mg/m³
crystal system	cubic
formation energy	0.43	eV per atom

Lattice parameters (Å, degrees): 6.8157 6.8157 6.8157 60.00 60.00 60.00
Positions (direct):
1 K 0.0000 0.0000 0.0000
2 Y 0.3785 0.3785 0.3785
3 Y 0.3785 0.3785 0.8645
4 Y 0.3785 0.8645 0.3785
5 Y 0.7500 0.7500 0.7500
6 Y 0.8645 0.3785 0.3785

***

First-principles (PBE-GGA) data for crystalline LiPr6Al5 at its relaxed geometry, as listed in Alexandria.

Computed properties:
mass density	5.11	Mg/m³
crystal system	orthorhombic
formation energy	-0.29	eV per atom

Lattice parameters (Å, degrees): 8.4315 8.4315 7.5144 90.00 90.00 143.11
Positions (direct):
1 Li 0.0000 0.0000 0.0000
2 Pr 0.1684 0.8316 0.2493
3 Pr 0.1684 0.8316 0.7507
4 Pr 0.5000 0.5000 0.2533
5 Pr 0.5000 0.5000 0.7467
6 Pr 0.8316 0.1684 0.2493
7 Pr 0.8316 0.1684 0.7507
8 Al 0.0000 0.0000 0.5000
9 Al 0.3338 0.6662 0.5000
10 Al 0.3393 0.6607 0.0000
11 Al 0.6607 0.3393 0.0000
12 Al 0.6662 0.3338 0.5000

***

First-principles (PBE-GGA) data for crystalline HfFe2Co at its relaxed geometry, as listed in Alexandria.

Computed properties:
mass density	10.02	Mg/m³
crystal system	tetragonal
formation energy	0.26	eV per atom

Lattice parameters (Å, degrees): 9.5860 9.5860 9.5860 158.75 158.75 30.23
Positions (direct):
1 Hf 0.0000 0.0000 0.0000
2 Hf 0.7500 0.2500 0.5000
3 Fe 0.1469 0.6250 0.0219
4 Fe 0.3750 0.3969 0.5219
5 Fe 0.6031 0.1250 0.9781
6 Fe 0.8750 0.8531 0.4781
7 Co 0.2500 0.7500 0.5000
8 Co 0.5000 0.5000 0.0000

***

First-principles (PBE-GGA) data for crystalline Ce3Al7Au4 at its relaxed geometry, as listed in Alexandria.

Computed properties:
mass density	8.25	Mg/m³
crystal system	monoclinic
formation energy	-0.62	eV per atom

Lattice parameters (Å, degrees): 8.4012 8.4012 9.7552 124.57 124.57 30.32
Positions (direct):
1 Ce 0.0000 0.0000 0.0000
2 Ce 0.3134 0.3134 0.3163
3 Ce 0.6866 0.6866 0.6837
4 Al 0.0000 0.0000 0.5000
5 Al 0.1522 0.1522 0.4266
6 Al 0.3257 0.3257 0.9664
7 Al 0.4998 0.4998 0.2918
8 Al 0.5002 0.5002 0.7082
9 Al 0.6743 0.6743 0.0336
10 Al 0.8478 0.8478 0.5734
11 Au 0.1299 0.1299 0.8548
12 Au 0.3451 0.3451 0.7188
13 Au 0.6549 0.6549 0.2812
14 Au 0.8701 0.8701 0.1452

***

First-principles (PBE-GGA) data for crystalline MnIrRh3 at its relaxed geometry, as listed in Alexandria.

Computed properties:
E above lowest polymorph	1048.0	meV per atom
mass density	11.16	Mg/m³
crystal system	cubic
formation energy	1.26	eV per atom

Lattice parameters (Å, degrees): 4.3572 4.3572 4.3572 90.00 90.00 90.00
Positions (direct):
1 Mn 0.0000 0.0000 0.0000
2 Ir 0.5000 0.5000 0.5000
3 Rh 0.0000 0.0000 0.5000
4 Rh 0.0000 0.5000 0.0000
5 Rh 0.5000 0.0000 0.0000

***

First-principles (PBE-GGA) data for crystalline Co4Ni7 at its relaxed geometry, as listed in Alexandria.

Computed properties:
mass density	8.49	Mg/m³
crystal system	hexagonal
formation energy	0.15	eV per atom

Lattice parameters (Å, degrees): 7.7337 7.7337 2.4429 90.00 90.00 120.00
Positions (direct):
1 Co 0.0000 0.0000 0.0000
2 Co 0.5072 0.0144 0.5000
3 Co 0.5072 0.4928 0.5000
4 Co 0.9856 0.4928 0.5000
5 Ni 0.1571 0.3142 0.5000
6 Ni 0.1571 0.8429 0.5000
7 Ni 0.3333 0.6667 0.0000
8 Ni 0.3600 0.1800 0.0000
9 Ni 0.6858 0.8429 0.5000
10 Ni 0.8200 0.1800 0.0000
11 Ni 0.8200 0.6400 0.0000

***

Number 1: magnetization 1.000 μB per cell. Number 2: magnetization 2.002 μB per cell. Number 3: magnetization 0.000 μB per cell. Number 4: magnetization 0.000 μB per cell. Number 5: magnetization 0.000 μB per cell. Number 6: magnetization 2.174 μB per cell. Number 7: magnetization 0.000 μB per cell. Number 8: magnetization 0.000 μB per cell. Number 9: magnetization 10.250 μB per cell. Number 10: magnetization 1.807 μB per cell. Number 11: magnetization 0.000 μB per cell. Number 12: magnetization 11.567 μB per cell.